# YTcW2

Crystalline YTcW2 at its relaxed geometry (GGA-PBE, Alexandria via LeMat-Bulk).

It has space group P4/mmm (No. 123), with a = 3.8690 Å, b = 3.8690 Å, c = 4.8692 Å, α = 90.00°, β = 90.00° and γ = 90.00°. The asymmetric unit holds Y at (0.0000, 0.0000, 0.0000), Tc at (0.5000, 0.5000, 0.0000) and W at (0.0000, 0.5000, 0.5000).

For the energy relative to the elements, the calculation gives 0.582 eV per atom. The value obtained for the calculated density is 12.634 Mg/m³. For the relative energy among the computed polymorphs, the calculation gives 1.40 eV/f.u. For the energy, the calculation gives -10.10 eV/atom. As for the crystal system: tetragonal. The density of states at the Fermi level is 3.3 states/eV/cell. The magnetization comes out at 0.00 μB per cell.